# Dy2ThTl

A geometry-optimized Dy2ThTl structure (PBE, Alexandria).

a = 3.5832 Å, b = 3.5832 Å, c = 11.1451 Å
α = 80.75°, β = 80.75°, γ = 60.00°
Fractional positions:
Dy 0.0786 0.0786 0.7642
Dy 0.2549 0.2549 0.2354
Th 0.5000 0.5000 0.4999
Tl 0.6665 0.6665 0.0005

Values from the calculation:
space-group type: R3m (160)
magnetization: 0.0 μB/cell

***

# DyThTl6

A geometry-optimized DyThTl6 structure (PBE, Alexandria).

a = 4.7906 Å, b = 4.7906 Å, c = 9.5712 Å
α = 90.00°, β = 90.00°, γ = 90.00°
Fractional positions:
Tl 0.5000 0.0000 0.7447
Tl 0.5000 0.5000 0.5000
Tl 0.0000 0.5000 0.2553
Tl 0.5000 0.0000 0.2553
Tl 0.5000 0.5000 0.0000
Tl 0.0000 0.5000 0.7447
Th 0.0000 0.0000 0.0000
Dy 0.0000 0.0000 0.5000

Values from the calculation:
space-group type: P4/mmm (123)
magnetization: 0.0 μB/cell

***

# DyThTl

A geometry-optimized DyThTl structure (PBE, Alexandria).

a = 3.6424 Å, b = 3.6424 Å, c = 7.3475 Å
α = 104.35°, β = 104.35°, γ = 90.00°
Fractional positions:
Th 0.6110 0.6110 0.2220
Tl 0.9446 0.9446 0.8893
Dy 0.2944 0.2944 0.5887

Values from the calculation:
space-group type: I4mm (107)
magnetization: 0.0 μB/cell

***

# Dy2ThTl

A geometry-optimized Dy2ThTl structure (PBE, Alexandria).

a = 3.5709 Å, b = 3.5709 Å, c = 12.0782 Å
α = 81.50°, β = 81.50°, γ = 60.00°
Fractional positions:
Th 0.5000 0.5000 0.5000
Dy 0.0892 0.0892 0.7324
Dy 0.9108 0.9108 0.2676
Tl 0.0000 0.0000 0.0000

Values from the calculation:
space-group type: R-3m (166)
magnetization: 0.0 μB/cell

***

# DyTh4Tl5

A geometry-optimized DyTh4Tl5 structure (PBE, Alexandria).

a = 3.5555 Å, b = 3.5555 Å, c = 22.7918 Å
α = 90.00°, β = 90.00°, γ = 90.00°
Fractional positions:
Tl 0.5000 0.5000 0.0937
Tl 0.5000 0.5000 0.2968
Dy 0.0000 0.0000 0.0000
Th 0.0000 0.0000 0.8047
Th 0.0000 0.0000 0.6018
Tl 0.5000 0.5000 0.5000
Tl 0.5000 0.5000 0.9063
Tl 0.5000 0.5000 0.7032
Th 0.0000 0.0000 0.3982
Th 0.0000 0.0000 0.1953

Values from the calculation:
space-group type: P4/mmm (123)
magnetization: 0.0 μB/cell

***

# DyThTl

A geometry-optimized DyThTl structure (PBE, Alexandria).

a = 3.6100 Å, b = 5.4041 Å, c = 5.4041 Å
α = 120.00°, β = 90.00°, γ = 90.00°
Fractional positions:
Dy 0.8933 0.0000 0.0000
Th 0.3637 0.3333 0.6667
Tl 0.7429 0.6667 0.3333

Values from the calculation:
space-group type: P3m1 (156)
magnetization: 0.0 μB/cell

***

# Dy2ThTl4

A geometry-optimized Dy2ThTl4 structure (PBE, Alexandria).

a = 4.9588 Å, b = 4.9588 Å, c = 10.3242 Å
α = 76.10°, β = 76.10°, γ = 60.00°
Fractional positions:
Th 0.0000 0.0000 0.0000
Tl 0.6157 0.6157 0.1529
Dy 0.1283 0.1283 0.6151
Tl 0.2435 0.2435 0.2695
Tl 0.7565 0.7565 0.7305
Dy 0.8717 0.8717 0.3849
Tl 0.3843 0.3843 0.8471

Values from the calculation:
space-group type: R-3m (166)
magnetization: 0.0 μB/cell

***

# DyThTl

A geometry-optimized DyThTl structure (PBE, Alexandria).

a = 9.2393 Å, b = 9.2393 Å, c = 9.2393 Å
α = 151.02°, β = 151.02°, γ = 41.44°
Fractional positions:
Th 0.0000 0.5000 0.5000
Tl 0.6429 0.6429 0.0000
Dy 0.1779 0.1779 0.0000
Th 0.5000 0.0000 0.5000
Dy 0.8221 0.8221 0.0000
Tl 0.3571 0.3571 0.0000

Values from the calculation:
space-group type: I4/mmm (139)
magnetization: 0.0 μB/cell

***

# Dy6ThTl3

A geometry-optimized Dy6ThTl3 structure (PBE, Alexandria).

a = 5.2026 Å, b = 10.0366 Å, c = 11.3586 Å
α = 101.23°, β = 90.00°, γ = 90.00°
Fractional positions:
Tl 0.7500 0.6372 0.1910
Dy 0.7500 0.7299 0.4828
Tl 0.2500 0.7675 0.9695
Tl 0.2500 0.3628 0.8090
Dy 0.2500 0.0761 0.9037
Dy 0.7500 0.5525 0.9049
Dy 0.2500 0.8198 0.2854
Th 0.2500 0.9549 0.5947
Th 0.7500 0.0451 0.4053
Dy 0.2500 0.2701 0.5172
Dy 0.7500 0.9239 0.0963
Tl 0.7500 0.4621 0.6099
Dy 0.2500 0.4475 0.0951
Tl 0.7500 0.2325 0.0305
Dy 0.7500 0.1802 0.7146
Dy 0.7500 0.3551 0.3116
Dy 0.2500 0.6449 0.6884
Dy 0.2500 0.1345 0.2234
Dy 0.7500 0.8655 0.7766
Tl 0.2500 0.5379 0.3901

Values from the calculation:
space-group type: P2_1/m (11)
magnetization: 0.0 μB/cell

***

# Dy4ThTl2

A geometry-optimized Dy4ThTl2 structure (PBE, Alexandria).

a = 5.5076 Å, b = 5.5076 Å, c = 9.3521 Å
α = 72.88°, β = 72.88°, γ = 60.00°
Fractional positions:
Th 0.5000 0.5000 0.5000
Dy 0.8719 0.8719 0.3843
Dy 0.7409 0.7409 0.7774
Dy 0.1281 0.1281 0.6157
Dy 0.2591 0.2591 0.2226
Tl 0.6223 0.6223 0.1332
Tl 0.3777 0.3777 0.8668

Values from the calculation:
space-group type: R-3m (166)
magnetization: 0.0 μB/cell

***

# Dy2ThTl4

A geometry-optimized Dy2ThTl4 structure (PBE, Alexandria).

a = 5.2095 Å, b = 5.2095 Å, c = 7.8357 Å
α = 90.00°, β = 90.00°, γ = 90.00°
Fractional positions:
Th 0.5000 0.5000 0.0000
Tl 0.0000 0.5000 0.7263
Tl 0.5000 0.0000 0.2737
Tl 0.5000 0.0000 0.7263
Dy 0.5000 0.5000 0.5000
Dy 0.0000 0.0000 0.0000
Tl 0.0000 0.5000 0.2737

Values from the calculation:
space-group type: P4/mmm (123)
magnetization: 0.0 μB/cell

***

# Dy12ThTl3

A geometry-optimized Dy12ThTl3 structure (PBE, Alexandria).

a = 4.8733 Å, b = 4.8733 Å, c = 19.7389 Å
α = 90.00°, β = 90.00°, γ = 90.00°
Fractional positions:
Dy 0.5000 0.0000 0.3766
Dy 0.5000 0.0000 0.1283
Dy 0.5000 0.0000 0.8717
Dy 0.5000 0.5000 0.0000
Dy 0.5000 0.5000 0.2546
Tl 0.0000 0.0000 0.5000
Dy 0.0000 0.5000 0.3766
Dy 0.5000 0.5000 0.7454
Th 0.0000 0.0000 0.0000
Dy 0.5000 0.0000 0.6234
Tl 0.0000 0.0000 0.2557
Dy 0.5000 0.5000 0.5000
Tl 0.0000 0.0000 0.7443
Dy 0.0000 0.5000 0.6234
Dy 0.0000 0.5000 0.8717
Dy 0.0000 0.5000 0.1283

Values from the calculation:
space-group type: P4/mmm (123)
magnetization: 0.0 μB/cell

***

# Dy2Th2Tl7

A geometry-optimized Dy2Th2Tl7 structure (PBE, Alexandria).

a = 7.5556 Å, b = 6.0830 Å, c = 7.5556 Å
α = 84.15°, β = 100.72°, γ = 95.85°
Fractional positions:
Dy 0.1862 0.5000 0.1862
Tl 0.3997 0.2721 0.9386
Tl 0.0614 0.2721 0.6003
Tl 0.9386 0.7279 0.3997
Tl 0.0000 0.0000 0.0000
Dy 0.8138 0.5000 0.8138
Tl 0.6003 0.7279 0.0614
Tl 0.4620 0.2549 0.5380
Th 0.7317 0.1889 0.2683
Th 0.2683 0.8111 0.7317
Tl 0.5380 0.7451 0.4620

Values from the calculation:
space-group type: C2/m (12)
magnetization: 0.0 μB/cell

***

# Dy2ThTl

A geometry-optimized Dy2ThTl structure (PBE, Alexandria).

a = 3.6066 Å, b = 3.6066 Å, c = 9.0259 Å
α = 90.00°, β = 90.00°, γ = 90.00°
Fractional positions:
Th 0.5000 0.5000 0.5000
Tl 0.5000 0.5000 0.0000
Dy 0.0000 0.0000 0.2347
Dy 0.0000 0.0000 0.7653

Values from the calculation:
space-group type: P4/mmm (123)
magnetization: 0.0 μB/cell

***

# Dy9ThTl2

A geometry-optimized Dy9ThTl2 structure (PBE, Alexandria).

a = 4.8886 Å, b = 4.8886 Å, c = 14.9070 Å
α = 90.00°, β = 90.00°, γ = 90.00°
Fractional positions:
Dy 0.5000 0.5000 0.6624
Dy 0.5000 0.5000 0.0000
Dy 0.5000 0.5000 0.3376
Dy 0.0000 0.5000 0.8301
Th 0.0000 0.0000 0.0000
Dy 0.5000 0.0000 0.5000
Tl 0.0000 0.0000 0.3382
Dy 0.0000 0.5000 0.1699
Dy 0.5000 0.0000 0.1699
Dy 0.5000 0.0000 0.8301
Dy 0.0000 0.5000 0.5000
Tl 0.0000 0.0000 0.6618

Values from the calculation:
space-group type: P4/mmm (123)
magnetization: 0.0 μB/cell

***

# Dy2ThTl2Zn2

A geometry-optimized Dy2ThTl2Zn2 structure (PBE, Alexandria).

a = 4.8055 Å, b = 4.8055 Å, c = 9.4334 Å
α = 75.24°, β = 75.24°, γ = 60.00°
Fractional positions:
Dy 0.8708 0.8708 0.3875
Th 0.0000 0.0000 0.0000
Tl 0.7352 0.7352 0.7943
Zn 0.4146 0.4146 0.7562
Dy 0.1292 0.1292 0.6125
Tl 0.2648 0.2648 0.2057
Zn 0.5854 0.5854 0.2438

Values from the calculation:
space-group type: R-3m (166)
magnetization: 0.0 μB/cell

***

# DyTm3Th

A geometry-optimized DyTm3Th structure (PBE, Alexandria).

a = 10.0075 Å, b = 8.5079 Å, c = 8.5079 Å
α = 117.48°, β = 96.40°, γ = 96.40°
Fractional positions:
Tm 0.0499 0.7359 0.1126
Tm 0.5499 0.1126 0.7359
Dy 0.7500 0.4010 0.5990
Tm 0.1760 0.0267 0.5752
Dy 0.2500 0.0094 0.9906
Th 0.0431 0.1814 0.2721
Dy 0.2500 0.5990 0.4010
Tm 0.9501 0.2641 0.8874
Th 0.9569 0.8186 0.7279
Th 0.5431 0.2721 0.1814
Dy 0.7500 0.9906 0.0094
Tm 0.1177 0.4914 0.6927
Tm 0.8240 0.9733 0.4248
Tm 0.6760 0.5752 0.0267
Tm 0.4501 0.8874 0.2641
Tm 0.3240 0.4248 0.9733
Tm 0.3823 0.3073 0.5086
Tm 0.6177 0.6927 0.4914
Th 0.4569 0.7279 0.8186
Tm 0.8823 0.5086 0.3073

Values from the calculation:
space-group type: C2/c (15)
magnetization: 0.0 μB/cell

***

# DyTmTh2

A geometry-optimized DyTmTh2 structure (PBE, Alexandria).

a = 5.0293 Å, b = 5.0140 Å, c = 5.0140 Å
α = 90.00°, β = 90.00°, γ = 90.00°
Fractional positions:
Tm 0.5000 0.0000 0.0000
Th 0.0000 0.5000 0.0000
Th 0.0000 0.0000 0.5000
Dy 0.5000 0.5000 0.5000

Values from the calculation:
space-group type: P4/mmm (123)
magnetization: 0.0 μB/cell

***

# DyTmTh

A geometry-optimized DyTmTh structure (PBE, Alexandria).

a = 3.5562 Å, b = 3.5562 Å, c = 8.5952 Å
α = 90.00°, β = 90.00°, γ = 120.00°
Fractional positions:
Tm 0.6667 0.3333 0.3388
Th 0.3333 0.6667 0.6652
Dy 0.0000 0.0000 0.9959

Values from the calculation:
space-group type: P3m1 (156)
magnetization: 0.0 μB/cell

***

# Dy6Tm5Th

A geometry-optimized Dy6Tm5Th structure (PBE, Alexandria).

a = 9.3318 Å, b = 9.3318 Å, c = 4.9801 Å
α = 105.47°, β = 105.47°, γ = 106.55°
Fractional positions:
Dy 0.7510 0.7510 0.2510
Dy 0.5849 0.9152 0.7501
Tm 0.3327 0.6673 0.0000
Tm 0.5000 0.5000 0.5000
Dy 0.4151 0.0848 0.2499
Tm 0.6673 0.3327 0.0000
Dy 0.2490 0.2490 0.7490
Tm 0.8342 0.1658 0.5000
Tm 0.1658 0.8342 0.5000
Dy 0.0848 0.4151 0.2499
Dy 0.9152 0.5849 0.7501
Th 0.0000 0.0000 0.0000

Values from the calculation:
space-group type: Immm (71)
magnetization: 0.0 μB/cell

***

| no. | DFT formation energy (eV per atom) |
| --- | --- |
| 1 | -0.086 |
| 2 | -0.191 |
| 3 | -0.108 |
| 4 | 0.067 |
| 5 | -0.181 |
| 6 | 0.030 |
| 7 | -0.023 |
| 8 | -0.137 |
| 9 | -0.205 |
| 10 | 0.102 |
| 11 | -0.134 |
| 12 | -0.117 |
| 13 | 0.035 |
| 14 | -0.188 |
| 15 | -0.097 |
| 16 | -0.076 |
| 17 | 0.147 |
| 18 | 0.041 |
| 19 | 0.022 |
| 20 | 0.029 |